1.
# B2C

Crystalline B2C at its relaxed geometry (PBE-GGA, Alexandria).

```
B2C
1.0
2.695 0.000 0.000
-1.348 2.334 0.000
0.000 0.000 15.362
B C
8 4
Direct
0.000 0.000 0.000 B
0.000 0.000 0.109 B
0.000 0.000 0.558 B
0.333 0.667 0.133 B
0.333 0.667 0.384 B
0.333 0.667 0.803 B
0.667 0.333 0.494 B
0.667 0.333 0.933 B
0.000 0.000 0.661 C
0.333 0.667 0.690 C
0.667 0.333 0.392 C
0.667 0.333 0.833 C
```

## Properties
Crystal system ... trigonal
Total moment ... 0.0 μB per cell
Electronic total energy ... -7.00 eV per atom
Energy of formation from the pure elements ... 0.52 eV per atom



2.
# Be2AgRu

Crystalline Be2AgRu at its relaxed geometry (PBE-GGA, Alexandria).

```
Be2AgRu
1.0
-3.060 3.060 2.727
3.060 -3.060 2.727
3.060 3.060 -2.727
Be Ag Ru
4 2 2
Direct
0.111 0.625 0.986 Be
0.375 0.361 0.486 Be
0.639 0.125 0.014 Be
0.875 0.889 0.514 Be
0.250 0.750 0.500 Ag
0.500 0.500 0.000 Ag
0.000 0.000 0.000 Ru
0.750 0.250 0.500 Ru
```

## Properties
Crystal system ... tetragonal
Total moment ... 0.0 μB per cell
Electronic total energy ... -4.53 eV per atom
Energy of formation from the pure elements ... 0.37 eV per atom



3.
# Ca2PuAu6

Crystalline Ca2PuAu6 at its relaxed geometry (PBE-GGA, Alexandria).

```
Ca2PuAu6
1.0
8.301 0.000 0.000
-4.150 7.189 0.000
0.000 0.000 3.409
Ca Pu Au
2 1 6
Direct
0.333 0.667 0.000 Ca
0.667 0.333 0.000 Ca
0.000 0.000 0.000 Pu
0.000 0.334 0.500 Au
0.000 0.666 0.500 Au
0.334 0.000 0.500 Au
0.334 0.334 0.500 Au
0.666 0.000 0.500 Au
0.666 0.666 0.500 Au
```

## Properties
Crystal system ... hexagonal
Total moment ... 6.0 μB per cell
Electronic total energy ... -4.84 eV per atom
Energy of formation from the pure elements ... -0.62 eV per atom